Compound: CeZn2Au
Source: Alexandria
Functional: PBE
Structure: relaxed

Unit cell a=4.454 b=5.672 c=6.891 alpha=90.00 beta=90.00 gamma=113.12
Last column: magnetic moment on the atom in μB.
Positions (direct):
Zn1 0.037 0.074 0.688  0.00
Zn2 0.883 0.765 0.000  0.01
Zn3 0.463 0.926 0.500  0.01
Zn4 0.037 0.074 0.312  0.00
Ce1 0.582 0.164 0.000  0.61
Ce2 0.752 0.505 0.500  0.60
Au1 0.287 0.575 0.797  0.00
Au2 0.287 0.575 0.203  0.00

Values from the calculation:
DFT formation energy: -0.4237 eV/atom
D(E_F): 12.78 states/eV/cell
Symmetry: Amm2 (38)